Entry from Alexandria: a relaxed structure of AlCr2 (PBE).

Unit cell a=7.2580 b=7.2580 c=2.5032 alpha=90.00 beta=90.00 gamma=120.00
Closest atoms and distances in Å follow each position.
Atoms (fractional coordinates):
Al 0.0000 0.0000 0.0000  2 Al 2.50, 9 Cr 2.56-2.60
Al 0.3333 0.6667 0.5000  9 Cr 2.49-2.66, 2 Al 2.50
Al 0.6667 0.3333 0.5000  9 Cr 2.49-2.66, 2 Al 2.50
Cr 0.0000 0.3134 0.5000  4 Al 2.49-2.60, 8 Cr 2.50-2.73
Cr 0.0000 0.6474 0.0000  8 Cr 2.50-2.73, 5 Al 2.56-2.66
Cr 0.3134 0.0000 0.5000  4 Al 2.49-2.60, 8 Cr 2.50-2.73
Cr 0.3526 0.3526 0.0000  8 Cr 2.50-2.73, 5 Al 2.56-2.66
Cr 0.6474 0.0000 0.0000  8 Cr 2.50-2.73, 5 Al 2.56-2.66
Cr 0.6866 0.6866 0.5000  4 Al 2.49-2.60, 8 Cr 2.50-2.73

The total magnetization comes out at 0.00 μB/f.u. The value obtained for the formation energy is 0.1355 eV per atom.